1.
A geometry-optimized Re2PbCl structure, computed with PBE.

## Properties
SG = No. 10
V = 17.8 Å³ per atom
total moment = 0.0 μB per formula unit
E_form (uncorrected) = 1.258 eV/atom
D(E_F) = 1.119 states/eV per atom
distance to the lowest polymorph of the same formula = 1120 meV/atom

Cell lengths 2.970, 5.049, 6.119 Å; angles 51.05, 90.00, 90.00 degrees
Fractional positions:
1 Re 0.500 0.500 0.000
2 Pb 0.000 0.000 0.500
3 Re 0.000 0.000 0.000
4 Cl 0.500 0.500 0.500



2.
A geometry-optimized Li2SmMgCd4 structure, computed with PBE.

## Properties
SG = No. 166
V = 22.3 Å³ per atom
total moment = 0.0 μB per formula unit
D(E_F) = 0.395 states/eV per atom
calculated formation energy = -211 meV/atom

Cell lengths 4.791, 4.791, 9.408 Å; angles 75.25, 75.25, 60.00 degrees
Fractional positions:
1 Cd 0.609 0.609 0.174
2 Mg 0.500 0.500 0.500
3 Li 0.760 0.760 0.721
4 Li 0.240 0.240 0.279
5 Cd 0.123 0.123 0.630
6 Cd 0.877 0.877 0.370
7 Sm 0.000 0.000 0.000
8 Cd 0.391 0.391 0.826



3.
A geometry-optimized BaSe2BrO structure, computed with PBE.

## Properties
SG = No. 123
V = 24.5 Å³ per atom
total moment = 0.3 μB per formula unit
E_form (uncorrected) = -0.778 eV/atom
D(E_F) = 0.805 states/eV per atom
distance to the lowest polymorph of the same formula = 0 meV/atom

Cell lengths 4.411, 4.411, 6.295 Å; angles 90.00, 90.00, 90.00 degrees
Last column: magnetic moment on the atom in μB.
Fractional positions:
1 Se 0.000 0.500 0.000  0.08
2 Se 0.500 0.000 0.000  0.08
3 O 0.000 0.000 0.000  0.03
4 Ba 0.500 0.500 0.500  0.00
5 Br 0.000 0.000 0.500  0.00



4.
A geometry-optimized PaZn4Ag structure, computed with PBE.

## Properties
SG = No. 216
V = 18.0 Å³ per atom
total moment = 0.0 μB per formula unit
D(E_F) = 0.726 states/eV per atom
distance to the lowest polymorph of the same formula = 113 meV/atom
calculated formation energy = 78 meV/atom

Cell lengths 5.349, 5.349, 5.349 Å; angles 60.00, 60.00, 60.00 degrees
Fractional positions:
1 Zn 0.625 0.125 0.625
2 Pa 0.250 0.250 0.250
3 Zn 0.625 0.625 0.625
4 Zn 0.625 0.625 0.125
5 Ag 0.000 0.000 0.000
6 Zn 0.125 0.625 0.625



5.
A geometry-optimized NdZnGe2Pd5 structure, computed with PBE.

## Properties
SG = No. 123
V = 18.4 Å³ per atom
total moment = 0.0 μB per formula unit
D(E_F) = 0.431 states/eV per atom
calculated formation energy = -442 meV/atom

Cell lengths 4.697, 4.697, 7.511 Å; angles 90.00, 90.00, 90.00 degrees
Fractional positions:
1 Pd 0.000 0.500 0.248
2 Ge 0.500 0.500 0.842
3 Pd 0.500 0.000 0.248
4 Zn 0.000 0.000 0.000
5 Pd 0.500 0.500 0.500
6 Nd 0.000 0.000 0.500
7 Pd 0.000 0.500 0.752
8 Ge 0.500 0.500 0.158
9 Pd 0.500 0.000 0.752



6.
A geometry-optimized Tb5Pm6Th2 structure, computed with PBE.

## Properties
SG = No. 55
V = 33.8 Å³ per atom
total moment = 0.0 μB per formula unit
D(E_F) = 1.373 states/eV per atom
calculated formation energy = 117 meV/atom

Cell lengths 3.615, 11.624, 20.944 Å; angles 90.00, 90.00, 90.00 degrees
Fractional positions:
1 Th 0.000 0.811 0.233
2 Th 0.000 0.311 0.267
3 Pm 0.000 0.933 0.646
4 Tb 0.500 0.934 0.792
5 Pm 0.500 0.817 0.376
6 Pm 0.000 0.067 0.354
7 Pm 0.000 0.919 0.937
8 Pm 0.500 0.183 0.624
9 Tb 0.500 0.566 0.292
10 Tb 0.500 0.500 0.000
11 Th 0.000 0.189 0.767
12 Pm 0.500 0.317 0.124
13 Tb 0.500 0.814 0.081
14 Tb 0.500 0.000 0.500
15 Tb 0.500 0.314 0.419
16 Pm 0.000 0.581 0.437
17 Pm 0.500 0.683 0.876
18 Pm 0.000 0.081 0.063
19 Th 0.000 0.689 0.733
20 Pm 0.000 0.419 0.563
21 Tb 0.500 0.434 0.708
22 Pm 0.000 0.567 0.146
23 Pm 0.000 0.433 0.854
24 Tb 0.500 0.066 0.208
25 Tb 0.500 0.686 0.581
26 Tb 0.500 0.186 0.919



7.
A geometry-optimized BBrF2 structure, computed with PBE.

## Properties
SG = No. 227
V = 12.6 Å³ per atom
total moment = 0.3 μB per formula unit
E_form (uncorrected) = -0.645 eV/atom
D(E_F) = 0.818 states/eV per atom
distance to the lowest polymorph of the same formula = 1361 meV/atom

Cell lengths 5.226, 5.226, 5.226 Å; angles 60.00, 60.00, 60.00 degrees
Last column: magnetic moment on the atom in μB.
Fractional positions:
1 F 0.125 0.625 0.125  0.00
2 F 0.625 0.125 0.125  0.00
3 F 0.125 0.125 0.125  0.00
4 B 0.000 0.000 0.000  0.02
5 F 0.125 0.125 0.625  0.00
6 Br 0.750 0.750 0.750  0.17
7 B 0.250 0.250 0.250  0.02
8 Br 0.500 0.500 0.500  0.17



8.
A geometry-optimized YTmTl4 structure, computed with PBE.

## Properties
SG = No. 1
V = 27.2 Å³ per atom
total moment = 0.0 μB per formula unit
D(E_F) = 0.348 states/eV per atom
calculated formation energy = -181 meV/atom

Cell lengths 6.176, 6.276, 5.010 Å; angles 67.43, 68.12, 91.67 degrees
Fractional positions:
1 Tl 0.990 0.657 0.175
2 Y 0.501 0.497 0.997
3 Tl 0.012 0.337 0.823
4 Tl 0.494 0.154 0.673
5 Tl 0.509 0.841 0.322
6 Tm 0.001 0.997 0.499